(1)
# PrIn2Ag2

A relaxed PrIn2Ag2 crystal (PBE-GGA, the Alexandria database).

abc: 4.972 4.972 6.083
angles: 90.00 90.00 120.00
Atoms (fractional coordinates):
Pr 0.000 0.000 0.000
In 0.333 0.667 0.690
In 0.667 0.333 0.310
Ag 0.333 0.667 0.230
Ag 0.667 0.333 0.770

Calculated values
space-group type: P-3m1, No. 164
density of states at the Fermi level: 2.1 states/eV per cell
energy relative to the lowest polymorph listed for this composition: 85.9 meV per atom
formation energy: -171.4 meV per atom



(2)
# Pr4InAg

A relaxed Pr4InAg crystal (PBE-GGA, the Alexandria database).

abc: 13.178 3.821 7.816
angles: 90.00 107.20 90.00
Atoms (fractional coordinates):
Pr 0.146 0.000 0.332
Pr 0.153 0.000 0.819
Pr 0.347 0.500 0.181
Pr 0.354 0.500 0.668
Pr 0.646 0.500 0.332
Pr 0.653 0.500 0.819
Pr 0.847 0.000 0.181
Pr 0.854 0.000 0.668
In 0.000 0.500 0.000
In 0.500 0.000 0.000
Ag 0.000 0.500 0.500
Ag 0.500 0.000 0.500

Calculated values
space-group type: C2/m, No. 12
density of states at the Fermi level: 12.6 states/eV per cell
energy relative to the lowest polymorph listed for this composition: 0.0 meV per atom
formation energy: -212.2 meV per atom



(3)
# Pr6In2Ag

A relaxed Pr6In2Ag crystal (PBE-GGA, the Alexandria database).

abc: 10.389 10.394 5.239
angles: 90.00 90.00 90.00
Atoms (fractional coordinates):
Pr 0.019 0.181 0.000
Pr 0.125 0.624 0.500
Pr 0.181 0.981 0.500
Pr 0.319 0.481 0.000
Pr 0.375 0.124 0.000
Pr 0.481 0.681 0.500
Pr 0.519 0.319 0.500
Pr 0.625 0.876 0.000
Pr 0.681 0.519 0.000
Pr 0.819 0.019 0.500
Pr 0.875 0.376 0.500
Pr 0.981 0.819 0.000
In 0.199 0.300 0.500
In 0.301 0.800 0.000
In 0.699 0.200 0.000
In 0.801 0.700 0.500
Ag 0.000 0.500 0.000
Ag 0.500 0.000 0.500

Calculated values
space-group type: Pnnm, No. 58
density of states at the Fermi level: 22.8 states/eV per cell
formation energy: -254.3 meV per atom



(4)
# PrInAg2

A relaxed PrInAg2 crystal (PBE-GGA, the Alexandria database).

abc: 7.173 7.173 7.173
angles: 90.00 90.00 90.00
Atoms (fractional coordinates):
Pr 0.000 0.000 0.000
Pr 0.000 0.500 0.500
Pr 0.500 0.000 0.500
Pr 0.500 0.500 0.000
In 0.000 0.000 0.500
In 0.000 0.500 0.000
In 0.500 0.000 0.000
In 0.500 0.500 0.500
Ag 0.250 0.250 0.250
Ag 0.250 0.250 0.750
Ag 0.250 0.750 0.250
Ag 0.250 0.750 0.750
Ag 0.750 0.250 0.250
Ag 0.750 0.250 0.750
Ag 0.750 0.750 0.250
Ag 0.750 0.750 0.750

Calculated values
space-group type: Fm-3m, No. 225
density of states at the Fermi level: 9.5 states/eV per cell
energy relative to the lowest polymorph listed for this composition: 0.0 meV per atom
formation energy: -353.8 meV per atom



(5)
# Pr5In2Ag

A relaxed Pr5In2Ag crystal (PBE-GGA, the Alexandria database).

abc: 7.222 7.222 9.190
angles: 90.00 90.00 90.00
Atoms (fractional coordinates):
Pr 0.000 0.000 0.000
Pr 0.250 0.250 0.250
Pr 0.250 0.250 0.750
Pr 0.250 0.750 0.250
Pr 0.250 0.750 0.750
Pr 0.500 0.500 0.500
Pr 0.750 0.250 0.250
Pr 0.750 0.250 0.750
Pr 0.750 0.750 0.250
Pr 0.750 0.750 0.750
In 0.000 0.500 0.000
In 0.000 0.500 0.500
In 0.500 0.000 0.000
In 0.500 0.000 0.500
Ag 0.000 0.000 0.500
Ag 0.500 0.500 0.000

Calculated values
space-group type: I4/mmm, No. 139
density of states at the Fermi level: 21.7 states/eV per cell
formation energy: -262.4 meV per atom



(6)
# Pr3InAg8

A relaxed Pr3InAg8 crystal (PBE-GGA, the Alexandria database).

abc: 9.991 9.991 9.991
angles: 33.44 33.44 33.44
Atoms (fractional coordinates):
Pr 0.000 0.000 0.000
Pr 0.124 0.124 0.124
Pr 0.510 0.510 0.510
In 0.633 0.633 0.633
Ag 0.066 0.566 0.566
Ag 0.067 0.067 0.562
Ag 0.067 0.562 0.067
Ag 0.315 0.315 0.315
Ag 0.562 0.067 0.067
Ag 0.566 0.066 0.566
Ag 0.566 0.566 0.066
Ag 0.816 0.816 0.816

Calculated values
space-group type: R3m, No. 160
density of states at the Fermi level: 7.9 states/eV per cell
formation energy: -188.0 meV per atom



(7)
# Pr8InAg2

A relaxed Pr8InAg2 crystal (PBE-GGA, the Alexandria database).

abc: 8.642 8.642 5.622
angles: 99.68 99.68 116.67
Atoms (fractional coordinates):
Pr 0.083 0.311 0.589
Pr 0.232 0.768 0.000
Pr 0.311 0.083 0.589
Pr 0.395 0.395 0.193
Pr 0.605 0.605 0.807
Pr 0.689 0.917 0.411
Pr 0.768 0.232 0.000
Pr 0.917 0.689 0.411
In 0.000 0.000 0.000
Ag 0.310 0.690 0.500
Ag 0.690 0.310 0.500

Calculated values
space-group type: C2/m, No. 12
density of states at the Fermi level: 15.9 states/eV per cell
energy relative to the lowest polymorph listed for this composition: 81.3 meV per atom
formation energy: -76.6 meV per atom



(8)
# PrIn4Ag2

A relaxed PrIn4Ag2 crystal (PBE-GGA, the Alexandria database).

abc: 18.837 4.782 7.489
angles: 90.00 90.00 90.00
Atoms (fractional coordinates):
Pr 0.141 0.250 0.020
Pr 0.359 0.750 0.520
Pr 0.641 0.250 0.480
Pr 0.859 0.750 0.980
In 0.034 0.750 0.854
In 0.068 0.250 0.484
In 0.185 0.750 0.321
In 0.189 0.750 0.729
In 0.311 0.250 0.229
In 0.315 0.250 0.821
In 0.432 0.750 0.984
In 0.466 0.250 0.354
In 0.534 0.750 0.646
In 0.568 0.250 0.016
In 0.685 0.750 0.179
In 0.689 0.750 0.771
In 0.811 0.250 0.271
In 0.815 0.250 0.679
In 0.932 0.750 0.516
In 0.966 0.250 0.146
Ag 0.038 0.750 0.244
Ag 0.218 0.250 0.529
Ag 0.282 0.750 0.029
Ag 0.462 0.250 0.744
Ag 0.538 0.750 0.256
Ag 0.718 0.250 0.971
Ag 0.782 0.750 0.471
Ag 0.962 0.250 0.756

Calculated values
space-group type: Pnma, No. 62
density of states at the Fermi level: 11.2 states/eV per cell
formation energy: -254.3 meV per atom



(9)
# Pr12In5Ag2

A relaxed Pr12In5Ag2 crystal (PBE-GGA, the Alexandria database).

abc: 9.674 9.674 9.394
angles: 95.68 95.68 44.86
Atoms (fractional coordinates):
Pr 0.000 0.000 0.193
Pr 0.000 0.000 0.807
Pr 0.092 0.583 0.565
Pr 0.099 0.595 0.989
Pr 0.405 0.901 0.011
Pr 0.417 0.908 0.435
Pr 0.461 0.461 0.310
Pr 0.539 0.539 0.690
Pr 0.583 0.092 0.565
Pr 0.595 0.099 0.989
Pr 0.901 0.405 0.011
Pr 0.908 0.417 0.435
In 0.204 0.204 0.743
In 0.273 0.273 0.252
In 0.500 0.500 0.000
In 0.727 0.727 0.748
In 0.796 0.796 0.257
Ag 0.179 0.821 0.500
Ag 0.821 0.179 0.500

Calculated values
space-group type: C2/m, No. 12
density of states at the Fermi level: 21.6 states/eV per cell
formation energy: -183.3 meV per atom



(10)
# PrIn3Ag2

A relaxed PrIn3Ag2 crystal (PBE-GGA, the Alexandria database).

abc: 8.973 8.973 7.448
angles: 108.73 108.73 30.90
Atoms (fractional coordinates):
Pr 0.116 0.116 0.187
Pr 0.884 0.884 0.813
In 0.069 0.069 0.689
In 0.305 0.305 0.056
In 0.367 0.367 0.495
In 0.633 0.633 0.505
In 0.695 0.695 0.944
In 0.931 0.931 0.311
Ag 0.235 0.235 0.647
Ag 0.481 0.481 0.167
Ag 0.519 0.519 0.833
Ag 0.765 0.765 0.353

Calculated values
space-group type: C2/m, No. 12
density of states at the Fermi level: 5.3 states/eV per cell
energy relative to the lowest polymorph listed for this composition: 7.9 meV per atom
formation energy: -242.7 meV per atom



(11)
# PrIn5Ag

A relaxed PrIn5Ag crystal (PBE-GGA, the Alexandria database).

abc: 4.868 4.868 7.686
angles: 90.00 90.00 90.00
Atoms (fractional coordinates):
Pr 0.000 0.000 0.000
In 0.000 0.500 0.294
In 0.000 0.500 0.706
In 0.500 0.000 0.294
In 0.500 0.000 0.706
In 0.500 0.500 0.000
Ag 0.000 0.000 0.500

Calculated values
space-group type: P4/mmm, No. 123
density of states at the Fermi level: 2.5 states/eV per cell
formation energy: -254.3 meV per atom



(12)
# Pr5InAg4

A relaxed Pr5InAg4 crystal (PBE-GGA, the Alexandria database).

abc: 3.772 3.772 19.385
angles: 90.00 90.00 90.00
Atoms (fractional coordinates):
Pr 0.000 0.000 0.000
Pr 0.000 0.000 0.197
Pr 0.000 0.000 0.394
Pr 0.000 0.000 0.606
Pr 0.000 0.000 0.803
In 0.500 0.500 0.500
Ag 0.500 0.500 0.098
Ag 0.500 0.500 0.294
Ag 0.500 0.500 0.706
Ag 0.500 0.500 0.902

Calculated values
space-group type: P4/mmm, No. 123
density of states at the Fermi level: 8.8 states/eV per cell
formation energy: -296.4 meV per atom



(13)
# PrInAg6

A relaxed PrInAg6 crystal (PBE-GGA, the Alexandria database).

abc: 5.521 5.521 5.521
angles: 90.00 90.00 90.00
Atoms (fractional coordinates):
Pr 0.000 0.000 0.000
In 0.500 0.500 0.500
Ag 0.000 0.254 0.500
Ag 0.000 0.746 0.500
Ag 0.254 0.500 0.000
Ag 0.500 0.000 0.254
Ag 0.500 0.000 0.746
Ag 0.746 0.500 0.000

Calculated values
space-group type: Pm-3, No. 200
density of states at the Fermi level: 3.1 states/eV per cell
formation energy: -23.2 meV per atom



(14)
# PrIn2Ag4

A relaxed PrIn2Ag4 crystal (PBE-GGA, the Alexandria database).

abc: 7.264 7.264 5.758
angles: 90.00 90.00 90.00
Atoms (fractional coordinates):
Pr 0.000 0.000 0.000
Pr 0.500 0.500 0.500
In 0.000 0.500 0.250
In 0.000 0.500 0.750
In 0.500 0.000 0.250
In 0.500 0.000 0.750
Ag 0.193 0.193 0.500
Ag 0.193 0.807 0.500
Ag 0.307 0.307 0.000
Ag 0.307 0.693 0.000
Ag 0.693 0.307 0.000
Ag 0.693 0.693 0.000
Ag 0.807 0.193 0.500
Ag 0.807 0.807 0.500

Calculated values
space-group type: I4/mmm, No. 139
density of states at the Fermi level: 6.5 states/eV per cell
energy relative to the lowest polymorph listed for this composition: 0.0 meV per atom
formation energy: -188.9 meV per atom



(15)
# Pr3In2Ag7

A relaxed Pr3In2Ag7 crystal (PBE-GGA, the Alexandria database).

abc: 16.035 16.035 16.035
angles: 164.64 164.64 21.79
Atoms (fractional coordinates):
Pr 0.000 0.000 0.000
Pr 0.176 0.176 0.000
Pr 0.824 0.824 0.000
In 0.365 0.365 0.000
In 0.635 0.635 0.000
Ag 0.076 0.576 0.500
Ag 0.273 0.273 0.000
Ag 0.424 0.924 0.500
Ag 0.500 0.500 0.000
Ag 0.576 0.076 0.500
Ag 0.727 0.727 0.000
Ag 0.924 0.424 0.500

Calculated values
space-group type: I4/mmm, No. 139
density of states at the Fermi level: 8.3 states/eV per cell
formation energy: -116.9 meV per atom



(16)
# Pr4In2Ag

A relaxed Pr4In2Ag crystal (PBE-GGA, the Alexandria database).

abc: 9.306 9.306 9.306
angles: 33.97 33.97 33.97
Atoms (fractional coordinates):
Pr 0.122 0.122 0.122
Pr 0.373 0.373 0.373
Pr 0.627 0.627 0.627
Pr 0.878 0.878 0.878
In 0.249 0.249 0.249
In 0.751 0.751 0.751
Ag 0.500 0.500 0.500

Calculated values
space-group type: R-3m, No. 166
density of states at the Fermi level: 10.7 states/eV per cell
energy relative to the lowest polymorph listed for this composition: 0.0 meV per atom
formation energy: -255.8 meV per atom



(17)
# Pr6InAg5

A relaxed Pr6InAg5 crystal (PBE-GGA, the Alexandria database).

abc: 5.353 7.690 8.466
angles: 90.00 108.30 90.00
Atoms (fractional coordinates):
Pr 0.000 0.241 0.000
Pr 0.000 0.759 0.000
Pr 0.331 0.249 0.661
Pr 0.331 0.751 0.661
Pr 0.669 0.249 0.339
Pr 0.669 0.751 0.339
In 0.500 0.500 0.000
Ag 0.158 0.500 0.319
Ag 0.166 0.000 0.333
Ag 0.500 0.000 0.000
Ag 0.834 0.000 0.667
Ag 0.842 0.500 0.681

Calculated values
space-group type: P2/m, No. 10
density of states at the Fermi level: 11.5 states/eV per cell
formation energy: -284.5 meV per atom



(18)
# Pr11In9Ag4

A relaxed Pr11In9Ag4 crystal (PBE-GGA, the Alexandria database).

abc: 13.756 13.756 3.889
angles: 90.00 90.00 112.79
Atoms (fractional coordinates):
Pr 0.000 0.000 0.000
Pr 0.058 0.409 0.000
Pr 0.162 0.838 0.000
Pr 0.302 0.302 0.000
Pr 0.369 0.631 0.000
Pr 0.409 0.058 0.000
Pr 0.591 0.942 0.000
Pr 0.631 0.369 0.000
Pr 0.698 0.698 0.000
Pr 0.838 0.162 0.000
Pr 0.942 0.591 0.000
In 0.073 0.216 0.500
In 0.162 0.631 0.500
In 0.216 0.073 0.500
In 0.369 0.838 0.500
In 0.500 0.500 0.500
In 0.631 0.162 0.500
In 0.784 0.927 0.500
In 0.838 0.369 0.500
In 0.927 0.784 0.500
Ag 0.246 0.448 0.500
Ag 0.448 0.246 0.500
Ag 0.552 0.754 0.500
Ag 0.754 0.552 0.500

Calculated values
space-group type: Cmmm, No. 65
density of states at the Fermi level: 18.2 states/eV per cell
formation energy: -428.3 meV per atom



(19)
# Pr4In2Ag

A relaxed Pr4In2Ag crystal (PBE-GGA, the Alexandria database).

abc: 7.369 6.780 9.301
angles: 90.00 108.82 90.00
Atoms (fractional coordinates):
Pr 0.090 0.250 0.048
Pr 0.170 0.009 0.719
Pr 0.170 0.491 0.719
Pr 0.330 0.750 0.346
Pr 0.670 0.250 0.654
Pr 0.830 0.509 0.281
Pr 0.830 0.991 0.281
Pr 0.910 0.750 0.952
In 0.224 0.250 0.428
In 0.442 0.750 0.026
In 0.558 0.250 0.974
In 0.776 0.750 0.572
Ag 0.493 0.250 0.278
Ag 0.507 0.750 0.722

Calculated values
space-group type: P2_1/m, No. 11
density of states at the Fermi level: 14.0 states/eV per cell
energy relative to the lowest polymorph listed for this composition: 41.5 meV per atom
formation energy: -214.3 meV per atom



(20)
# PrIn3Ag2

A relaxed PrIn3Ag2 crystal (PBE-GGA, the Alexandria database).

abc: 8.818 8.818 4.802
angles: 105.58 105.58 55.88
Atoms (fractional coordinates):
Pr 0.131 0.131 0.130
Pr 0.869 0.869 0.870
In 0.122 0.530 0.327
In 0.333 0.667 0.000
In 0.470 0.878 0.673
In 0.530 0.122 0.327
In 0.667 0.333 0.000
In 0.878 0.470 0.673
Ag 0.165 0.835 0.500
Ag 0.305 0.305 0.805
Ag 0.695 0.695 0.195
Ag 0.835 0.165 0.500

Calculated values
space-group type: C2/m, No. 12
density of states at the Fermi level: 6.0 states/eV per cell
energy relative to the lowest polymorph listed for this composition: 0.0 meV per atom
formation energy: -250.6 meV per atom